An optimized crystal structure of CsYTl2. Source: Alexandria, functional PBE-GGA.

```
CsYTl2
1.0
-0.023 -1.740 3.531
3.376 -1.824 -0.877
4.754 7.102 3.530
Cs Y Tl
1 1 2
direct
0.500 0.500 0.500
0.500 0.500 0.000
0.000 0.000 0.811
0.000 0.000 0.189
```

Summary:
**Formation enthalpy at 0 K**: -18 kJ/mol of atoms
**Size of the total moment**: 0.022 μB per atom
**Volume**: 35.823 A^3/atom
**Polymorph energy (0 for the lowest one)**: 0.0 kJ per mole of atoms